(1)
Material: Tl2ReBr
Method: DFT, PBE-GGA
State: optimized geometry

extended XYZ file:
```
4
Lattice="-3.2263 4.0324 5.7368 -1.2671 2.2872 7.2625 2.6655 3.6667 0.7713" Properties=species:S:1:pos:R:3 pbc="T T T"
Tl -3.9911 6.1316 12.1392
Tl -1.4162 5.1812 7.7454
Re -0.4570 2.4966 3.4427
Br -1.3709 7.4897 10.3280
```

Computed properties:
Calculated volume: 100.60 Å³ per cell
Raw formation energy: 3.2 eV per formula unit
SG: C2/m
D(E_F): 4.1 states/eV/f.u.


(2)
Material: BaFeRu
Method: DFT, PBE-GGA
State: optimized geometry

extended XYZ file:
```
6
Lattice="-8.0838 1.7580 4.0099 -1.9587 -2.1880 -2.9890 0.4163 -3.9801 2.6407" Properties=species:S:1:pos:R:3 pbc="T T T"
Ba -7.4047 -2.4116 2.9748
Ba -3.1335 -0.0921 1.4156
Fe -0.5915 -3.0418 1.9099
Fe -1.8605 -1.2193 -1.5294
Ru -2.1228 -3.1046 0.0218
Ru -0.3314 -1.1568 0.3593
```

Computed properties:
Calculated volume: 184.69 Å³ per cell
ΔE_f: 32.0 kJ/mol of atoms
SG: P2_1/m
D(E_F): 3.2 states/eV/f.u.


(3)
Material: La8Tb3Y3
Method: DFT, PBE-GGA
State: optimized geometry

extended XYZ file:
```
14
Lattice="5.6161 0.0000 1.1287 2.7516 9.4519 0.8453 1.0534 -3.1800 9.2953" Properties=species:S:1:pos:R:3 pbc="T T T"
Y 4.1623 5.0346 8.3627
Y 5.2589 1.2373 2.9066
Y 4.7106 3.1360 5.6346
La 4.6044 -0.7576 6.1631
La 2.0144 0.7715 4.5137
La 7.0440 2.8023 8.5604
La 7.4068 5.5004 6.7555
La 4.8168 7.0295 5.1062
La 5.3862 5.0577 2.2730
La 2.3771 3.4696 2.7088
La 4.0349 1.2142 8.9963
Tb 2.4507 7.2132 2.3428
Tb 2.8081 0.0000 0.5644
Tb 1.3543 -0.9413 7.7977
```

Computed properties:
Calculated volume: 487.40 Å³ per cell
ΔE_f: 9.3 kJ/mol of atoms
SG: Immm
D(E_F): 20.2 states/eV/f.u.


(4)
Material: Y2TlBi
Method: DFT, PBE-GGA
State: optimized geometry

extended XYZ file:
```
4
Lattice="-3.7155 0.6145 1.8364 -3.5140 -1.2407 -1.9149 -1.8036 -7.6741 3.6984" Properties=species:S:1:pos:R:3 pbc="T T T"
Bi -6.6251 -8.0696 3.6351
Y -1.9452 -5.9310 2.8287
Y -2.2678 -1.9580 0.8465
Tl -4.5153 -4.1662 1.8179
```

Computed properties:
Calculated volume: 127.17 Å³ per cell
ΔE_f: -43.6 kJ/mol of atoms
SG: R3m
D(E_F): 2.1 states/eV/f.u.


(5)
Material: PmSmCo
Method: DFT, PBE-GGA
State: optimized geometry

extended XYZ file:
```
12
Lattice="4.0856 0.0000 0.0000 0.0000 7.4186 0.0000 0.0000 0.0000 10.6604" Properties=species:S:1:pos:R:3 pbc="T T T"
Sm 0.0095 0.7950 6.5523
Sm 2.0523 0.7950 9.4383
Sm 0.0095 6.6236 1.2221
Sm 2.0523 6.6236 4.1081
Pm 0.0096 2.7870 1.2345
Pm 2.0524 4.6316 9.4259
Pm 2.0524 2.7870 4.0957
Pm 0.0096 4.6316 6.5647
Co 0.0095 6.3550 8.9653
Co 0.0095 1.0636 3.6351
Co 2.0523 6.3550 7.0253
Co 2.0523 1.0636 1.6951
```

Computed properties:
Calculated volume: 323.11 Å³ per cell
ΔE_f: -3.9 kJ/mol of atoms
SG: Pbcm
D(E_F): 3.4 states/eV/f.u.


(6)
Material: Ba2AlIr2
Method: DFT, PBE-GGA
State: optimized geometry

extended XYZ file:
```
10
Lattice="-4.8291 -4.8844 0.1638 4.3508 -4.4017 -2.9832 1.7048 -1.5266 4.7387" Properties=species:S:1:pos:R:3 pbc="T T T"
Ir 0.9805 -2.2637 -1.0820
Ir -1.4587 -7.0224 -1.7375
Ir -2.4768 -3.6509 -0.2851
Ir 1.9985 -5.6351 -2.5343
Ba 2.9416 -4.6384 0.3694
Ba 1.1335 -7.6942 0.0354
Ba -1.7151 -6.1742 1.5499
Ba 0.0930 -3.1184 1.8838
Al -0.2391 -4.6430 -1.4097
Al 0.0000 0.0000 0.0000
```

Computed properties:
Calculated volume: 248.40 Å³ per cell
ΔE_f: -10.7 kJ/mol of atoms
SG: P4/mbm
D(E_F): 2.1 states/eV/f.u.


> Which formula does entry 6 have?

Ba2AlIr2